Material: Ho2Co5C4
Method: DFT, PBE
State: optimized geometry

- formation energy (eV/atom) = -0.075
- space group = Fmmm, No. 69

extended XYZ file:
```
11
Lattice="-4.450 0.122 -2.038 -0.488 -1.892 -4.930 -3.220 -4.612 0.873" Properties=species:S:1:pos:R:3 pbc="T T T"
C -3.513 -2.468 -4.239
Co -2.225 0.061 -1.019
Co -2.469 -0.885 -3.484
Co -2.967 -3.222 -2.538
Ho -4.751 -1.289 -1.467
C -6.205 -4.600 -4.370
C -1.953 -1.782 -1.725
Ho -2.920 -3.201 0.302
C -4.645 -3.914 -1.856
Co -5.192 -3.160 -3.557
Co -0.244 -0.946 -2.465
```